Y2LuZn | GGA-PBE | optimized geometry

Lattice parameters (Å, degrees): 3.559 3.559 8.564 90.00 90.00 90.00
Positions (direct):
Y 0.000 0.000 0.791
Y 0.000 0.000 0.209
Lu 0.500 0.500 0.500
Zn 0.500 0.500 0.000

Values from the calculation:
Offset from the most stable computed form in eV/atom: 0.0000
Total moment in μB per formula unit: 0.00
E_form in meV/atom: -155.9
V in A^3/atom: 27.12